## Nd2Re3Si5 (PBE-GGA)

Data for crystalline Nd2Re3Si5 at its relaxed geometry.

Structure (CIF):
```
data_Nd2Re3Si5
_cell_length_a 11.040
_cell_length_b 11.040
_cell_length_c 5.708
_cell_angle_alpha 90.00
_cell_angle_beta 90.00
_cell_angle_gamma 90.00
_space_group_name_H-M_alt 'P 4/m n c'
_space_group_IT_number 128
_space_group_name_Hall '-P 4 2n'
loop_
_atom_site_label
_atom_site_type_symbol
_atom_site_fract_x
_atom_site_fract_y
_atom_site_fract_z
Nd1 Nd 0.077 0.237 0.000
Re1 Re 0.000 0.500 0.250
Re2 Re 0.125 0.852 0.500
Si1 Si 0.000 0.000 0.261
Si2 Si 0.024 0.316 0.500
Si3 Si 0.172 0.672 0.250
```

Calculated values
- final energy (eV per atom) = -7.943
- spin magnetization (μB/f.u.) = 0.00